<w>
Entry from Alexandria: La4IrPt after structural relaxation (PBE).

Cell and atoms, written as extended XYZ:
```
12
Lattice="-6.663 2.204 -1.709 -0.074 -7.237 -0.075 1.383 2.456 8.555" Properties=species:S:1:pos:R:3 pbc="T T T"
Pt -2.037 -3.077 0.827
La -1.140 1.853 4.628
La -1.803 -1.896 6.903
La -0.240 -5.466 0.688
Pt -3.316 0.501 5.943
La -4.213 -4.428 2.142
Ir -5.322 1.643 -0.029
La -3.550 -0.680 -0.133
La -0.779 -1.754 3.053
Ir -0.032 -4.219 6.800
La -5.114 2.890 6.083
La -4.575 -0.822 3.718
```

Results
SG   C2/c
Crystal system   monoclinic

<x>
Entry from Alexandria: La4IrPt after structural relaxation (PBE).

Cell and atoms, written as extended XYZ:
```
6
Lattice="0.000 4.288 4.288 4.288 0.000 4.288 4.288 4.288 0.000" Properties=species:S:1:pos:R:3 pbc="T T T"
Ir 0.000 0.000 0.000
La 5.363 5.363 3.213
La 3.213 5.363 5.363
La 3.213 3.213 3.213
La 5.363 3.213 5.363
Pt 6.432 6.432 6.432
```

Results
SG   F-43m
Crystal system   cubic

Winner for stability: <w>

<w>
Entry from Alexandria: LaIr3Pt after structural relaxation (PBE).

Cell and atoms, written as extended XYZ:
```
5
Lattice="4.872 0.000 0.000 0.000 4.872 0.000 0.000 0.000 4.872" Properties=species:S:1:pos:R:3 pbc="T T T"
Ir 0.000 0.000 2.436
Ir 0.000 2.436 0.000
Ir 2.436 0.000 0.000
Pt 2.436 2.436 2.436
La 0.000 0.000 0.000
```

Results
SG   Pm-3m
Crystal system   cubic

<x>
Entry from Alexandria: LaIr3Pt after structural relaxation (PBE).

Cell and atoms, written as extended XYZ:
```
5
Lattice="4.868 0.000 0.000 0.000 4.868 0.000 0.000 0.000 4.868" Properties=species:S:1:pos:R:3 pbc="T T T"
La 2.434 2.434 2.434
Ir 0.000 2.434 0.000
Ir 0.000 0.000 2.434
Pt 0.000 0.000 0.000
Ir 2.434 0.000 0.000
```

Results
SG   Pm-3m
Crystal system   cubic

Winner for stability: <x>

<w>
Entry from Alexandria: LaPuIr after structural relaxation (PBE).

Cell and atoms, written as extended XYZ:
```
3
Lattice="3.655 0.000 0.000 0.000 3.655 0.000 -1.827 -1.827 5.619" Properties=species:S:1:pos:R:3 pbc="T T T"
La 0.000 0.000 0.202
Ir 1.827 1.827 2.051
Pu 0.000 0.000 3.367
```

Results
SG   I4mm
Crystal system   tetragonal

<x>
Entry from Alexandria: LaPuIr after structural relaxation (PBE).

Cell and atoms, written as extended XYZ:
```
3
Lattice="-1.666 1.019 2.303 0.528 -4.365 2.313 3.295 3.636 0.775" Properties=species:S:1:pos:R:3 pbc="T T T"
La -1.389 0.849 1.919
Ir 0.894 -1.358 2.569
Pu 0.985 1.818 3.206
```

Results
SG   P-6m2
Crystal system   hexagonal

<y>
Entry from Alexandria: LaPuIr after structural relaxation (PBE).

Cell and atoms, written as extended XYZ:
```
6
Lattice="-0.526 -1.656 3.295 -1.367 -1.546 -3.101 10.503 -6.299 -1.489" Properties=species:S:1:pos:R:3 pbc="T T T"
La 0.477 -2.521 -1.191
Pu 4.958 -5.077 0.345
Pu 3.652 -4.425 -1.641
Ir 6.274 -5.997 -2.013
Ir 2.336 -3.504 0.717
La 8.133 -6.981 -0.105
```

Results
SG   P-3m1
Crystal system   trigonal

Winner for stability: <w>

<w>
Entry from Alexandria: LaPuIr after structural relaxation (PBE).

Cell and atoms, written as extended XYZ:
```
6
Lattice="-3.105 1.472 1.178 -4.010 -4.205 0.256 -1.029 -3.240 6.907" Properties=species:S:1:pos:R:3 pbc="T T T"
Ir -2.460 -2.110 1.468
Pu -5.105 -3.305 7.166
La -3.644 -2.459 4.365
Pu -5.206 -3.016 0.954
Ir -4.746 -5.684 5.474
La -6.668 -3.863 3.756
```

Results
SG   P-1
Crystal system   triclinic

<x>
Entry from Alexandria: LaPuIr after structural relaxation (PBE).

Cell and atoms, written as extended XYZ:
```
3
Lattice="-1.789 -2.575 3.777 -3.530 -3.328 -0.751 1.012 -4.786 0.407" Properties=species:S:1:pos:R:3 pbc="T T T"
Pu -2.154 -5.345 1.717
La 0.000 0.000 0.000
Ir -1.077 -2.672 0.858
```

Results
SG   F-43m
Crystal system   cubic

Winner for stability: <x>

<w>
Entry from Alexandria: La2PuIr after structural relaxation (PBE).

Cell and atoms, written as extended XYZ:
```
4
Lattice="3.948 0.000 0.000 1.974 3.419 0.000 1.974 1.140 10.457" Properties=species:S:1:pos:R:3 pbc="T T T"
Ir 3.948 2.279 5.228
Pu 0.000 0.000 0.000
La 1.974 1.140 6.920
La 5.921 3.419 3.537
```

Results
SG   R-3m
Crystal system   trigonal

<x>
Entry from Alexandria: La2PuIr after structural relaxation (PBE).

Cell and atoms, written as extended XYZ:
```
4
Lattice="4.067 0.000 0.000 2.033 3.522 0.000 2.033 1.174 9.249" Properties=species:S:1:pos:R:3 pbc="T T T"
Pu 4.067 2.348 4.599
La 2.033 1.174 1.634
Ir 4.067 2.348 0.017
La 2.033 1.174 7.623
```

Results
SG   R3m
Crystal system   trigonal

Winner for stability: <x>

<w>
Entry from Alexandria: RbLa3Ir after structural relaxation (PBE).

Cell and atoms, written as extended XYZ:
```
5
Lattice="-3.006 0.843 4.474 -4.350 -2.114 -2.525 1.343 -4.958 1.837" Properties=species:S:1:pos:R:3 pbc="T T T"
Ir -3.007 -3.114 1.893
La -2.175 -1.057 -1.262
Rb 0.000 0.000 0.000
La -1.503 0.422 2.237
La 0.671 -2.479 0.919
```

Results
SG   Pm-3m
Crystal system   cubic

<x>
Entry from Alexandria: RbLa3Ir after structural relaxation (PBE).

Cell and atoms, written as extended XYZ:
```
5
Lattice="-0.091 1.953 -5.496 -5.013 -2.837 -0.926 -2.983 4.709 1.723" Properties=species:S:1:pos:R:3 pbc="T T T"
Rb -4.043 1.913 -2.350
Ir 0.000 0.000 0.000
La -0.045 0.977 -2.748
La -1.491 2.354 0.861
La -2.507 -1.418 -0.463
```

Results
SG   Pm-3m
Crystal system   cubic

Winner for stability: <x>

<w>
Entry from Alexandria: RbLa2YIr after structural relaxation (PBE).

Cell and atoms, written as extended XYZ:
```
5
Lattice="5.761 0.000 0.000 0.000 5.761 0.000 0.000 0.000 5.720" Properties=species:S:1:pos:R:3 pbc="T T T"
La 0.000 2.881 0.000
Ir 0.000 0.000 0.000
Y 0.000 0.000 2.860
La 2.881 0.000 0.000
Rb 2.881 2.881 2.860
```

Results
SG   P4/mmm
Crystal system   tetragonal

<x>
Entry from Alexandria: RbLa2YIr after structural relaxation (PBE).

Cell and atoms, written as extended XYZ:
```
5
Lattice="6.063 0.000 0.000 0.000 5.131 0.000 0.000 0.000 6.063" Properties=species:S:1:pos:R:3 pbc="T T T"
Ir 0.000 2.565 0.000
La 0.000 0.000 3.031
La 3.031 0.000 0.000
Y 0.000 0.000 0.000
Rb 3.031 2.565 3.031
```

Results
SG   P4/mmm
Crystal system   tetragonal

Winner for stability: <w>

<w>
Entry from Alexandria: LaReIr2 after structural relaxation (PBE).

Cell and atoms, written as extended XYZ:
```
4
Lattice="-2.690 -3.143 0.741 3.231 -2.615 0.639 -0.016 0.950 3.972" Properties=species:S:1:pos:R:3 pbc="T T T"
Ir 0.000 0.000 0.000
Ir 0.271 -2.879 0.690
La -1.353 -1.096 2.356
Re 1.608 -0.832 2.305
```

Results
SG   P4/mmm
Crystal system   tetragonal

<x>
Entry from Alexandria: LaReIr2 after structural relaxation (PBE).

Cell and atoms, written as extended XYZ:
```
4
Lattice="4.673 0.000 0.000 2.336 4.047 0.000 2.336 1.349 3.815" Properties=species:S:1:pos:R:3 pbc="T T T"
Re 2.336 1.349 0.954
La 4.673 2.698 1.908
Ir 7.009 4.047 2.861
Ir 0.000 0.000 0.000
```

Results
SG   F-43m
Crystal system   cubic

Winner for stability: <w>

<w>
Entry from Alexandria: LaRe2Ir after structural relaxation (PBE).

Cell and atoms, written as extended XYZ:
```
4
Lattice="-0.343 -0.333 2.759 1.133 -2.555 -0.168 8.280 3.575 1.460" Properties=species:S:1:pos:R:3 pbc="T T T"
Re 3.792 1.637 0.669
Re 0.348 0.150 0.061
La 6.605 1.238 2.391
Ir 2.465 -0.550 1.660
```

Results
SG   P4/mmm
Crystal system   tetragonal

<x>
Entry from Alexandria: LaRe2Ir after structural relaxation (PBE).

Cell and atoms, written as extended XYZ:
```
4
Lattice="-4.432 0.374 -4.102 -1.605 -4.484 -3.733 0.715 2.435 5.493" Properties=species:S:1:pos:R:3 pbc="T T T"
Ir -3.368 0.378 -1.263
Re -3.214 -2.188 -4.172
La -1.954 -2.052 -1.079
Re -5.841 -3.976 -7.582
```

Results
SG   Immm
Crystal system   orthorhombic

Winner for stability: <x>

<w>
Entry from Alexandria: LaRe2Ir after structural relaxation (PBE).

Cell and atoms, written as extended XYZ:
```
4
Lattice="-0.931 4.068 -2.541 -2.724 1.015 2.623 2.711 1.916 2.075" Properties=species:S:1:pos:R:3 pbc="T T T"
Re -0.006 1.465 2.349
Re 0.000 0.000 0.000
La 0.890 2.992 -0.233
Ir -1.827 2.541 0.041
```

Results
SG   P4/mmm
Crystal system   tetragonal

<x>
Entry from Alexandria: LaRe2Ir after structural relaxation (PBE).

Cell and atoms, written as extended XYZ:
```
4
Lattice="5.270 0.044 0.000 -2.113 4.828 0.000 0.000 0.000 2.778" Properties=species:S:1:pos:R:3 pbc="T T T"
La -1.057 2.414 1.389
Ir 2.635 0.022 1.389
Re 0.000 0.000 0.000
Re 1.578 2.436 0.000
```

Results
SG   Cmmm
Crystal system   orthorhombic

Winner for stability: <w>

<w>
Entry from Alexandria: LaRe2Ir after structural relaxation (PBE).

Cell and atoms, written as extended XYZ:
```
4
Lattice="4.868 0.000 0.000 0.000 4.868 0.000 0.000 0.000 3.018" Properties=species:S:1:pos:R:3 pbc="T T T"
La 0.000 2.434 1.509
Re 0.000 0.000 0.000
Ir 2.434 0.000 1.509
Re 2.434 2.434 0.000
```

Results
SG   P4/mmm
Crystal system   tetragonal

<x>
Entry from Alexandria: LaRe2Ir after structural relaxation (PBE).

Cell and atoms, written as extended XYZ:
```
4
Lattice="-2.244 -2.179 0.860 1.833 -2.375 -1.234 3.303 -0.832 6.510" Properties=species:S:1:pos:R:3 pbc="T T T"
Ir 0.620 -2.485 1.441
Re 1.423 -0.358 2.803
La 2.272 -2.901 4.696
Re 0.229 -0.058 0.452
```

Results
SG   P4/mmm
Crystal system   tetragonal

<y>
Entry from Alexandria: LaRe2Ir after structural relaxation (PBE).

Cell and atoms, written as extended XYZ:
```
4
Lattice="-5.324 -8.135 2.049 -2.868 -8.904 3.349 -4.799 -7.287 4.754" Properties=species:S:1:pos:R:3 pbc="T T T"
Re -12.835 -24.034 10.030
La -9.759 -18.273 7.626
Ir -6.634 -12.422 5.184
Re -3.250 -6.085 2.539
```

Results
SG   R3m
Crystal system   trigonal

<z>
Entry from Alexandria: LaRe2Ir after structural relaxation (PBE).

Cell and atoms, written as extended XYZ:
```
4
Lattice="-2.278 1.688 -4.388 -3.379 -0.988 -3.860 -4.355 2.162 1.875" Properties=species:S:1:pos:R:3 pbc="T T T"
La -2.503 0.716 -1.593
Ir -7.509 2.147 -4.780
Re -5.143 1.554 -2.852
Re -4.218 2.040 1.540
```

Results
SG   C2/m
Crystal system   monoclinic

Winner for stability: <z>

<w>
Entry from Alexandria: LaRe2Ir after structural relaxation (PBE).

Cell and atoms, written as extended XYZ:
```
4
Lattice="-0.518 2.682 -1.417 -2.242 0.630 2.011 5.202 3.492 4.708" Properties=species:S:1:pos:R:3 pbc="T T T"
Ir 2.356 1.582 2.132
Re 0.296 0.198 0.267
La 2.533 4.283 3.838
Re -0.141 2.487 1.418
```

Results
SG   P4mm
Crystal system   tetragonal

<x>
Entry from Alexandria: LaRe2Ir after structural relaxation (PBE).

Cell and atoms, written as extended XYZ:
```
4
Lattice="4.394 0.000 0.000 0.000 2.977 0.010 0.000 1.101 5.888" Properties=species:S:1:pos:R:3 pbc="T T T"
Re 0.000 0.130 0.636
Re 2.197 1.374 1.166
Ir 0.000 1.561 2.851
La 2.197 3.051 4.194
```

Results
SG   Pm
Crystal system   monoclinic

<y>
Entry from Alexandria: LaRe2Ir after structural relaxation (PBE).

Cell and atoms, written as extended XYZ:
```
4
Lattice="10.313 -0.004 -0.002 9.923 2.809 -0.002 9.923 1.376 2.449" Properties=species:S:1:pos:R:3 pbc="T T T"
Ir 7.540 1.045 0.611
Re 15.452 2.142 1.253
La 22.619 3.136 1.834
Re 29.786 4.130 2.415
```

Results
SG   R-3m
Crystal system   trigonal

<z>
Entry from Alexandria: LaRe2Ir after structural relaxation (PBE).

Cell and atoms, written as extended XYZ:
```
4
Lattice="-2.755 4.051 1.060 -1.436 -0.268 -2.707 -3.516 -2.838 1.709" Properties=species:S:1:pos:R:3 pbc="T T T"
Re -0.131 -0.037 -0.202
La -5.091 -0.304 -0.219
Ir -2.615 1.249 0.280
Re -2.344 -1.516 -0.298
```

Results
SG   P2/m
Crystal system   monoclinic

Winner for stability: <w>